Here is TiNbOsCl2 after structural relaxation from Alexandria. Energies are from PBE.

Unit cell a=4.6447 b=5.0940 c=4.6447 alpha=90.00 beta=90.00 gamma=90.00
Last column: nearest neighbours and their distance in Å.
Atoms (fractional coordinates):
Cl 0.5000 0.0000 0.0000  2 Nb 2.32
Cl 0.0000 0.0000 0.5000  2 Nb 2.32
Ti 0.5000 0.5000 0.5000  4 Os 3.28, 8 Cl 3.45
Nb 0.0000 0.0000 0.0000  4 Cl 2.32, 2 Os 2.55
Os 0.0000 0.5000 0.0000  2 Nb 2.55

Output
- E_form (uncorrected): 810 meV/atom